Entry 1:
A plane-wave DFT calculation with PBE-GGA was carried out for an optimized crystal structure of Pm8NdY2.

Summary:
SG ... C2/m
Excess energy over the best structure of this formula in the dataset ... 0 meV per atom
Uncorrected energy ... -54.50 eV/f.u.
ΔH_f (0 K) ... 115 kJ/mol of formula units
Size of the total moment ... 0.00 μB/f.u.

Cell: 9.4989 9.4989 5.7102 Å, 107.41 107.41 51.58°
Element x y z (fractional)
Pm (0.0680, 0.6593, 0.3636)
Pm (0.2065, 0.7935, 0.0000)
Pm (0.3356, 0.3356, 0.8352)
Pm (0.3407, 0.9320, 0.6364)
Pm (0.6593, 0.0680, 0.3636)
Pm (0.6644, 0.6644, 0.1648)
Pm (0.7935, 0.2065, 0.0000)
Pm (0.9320, 0.3407, 0.6364)
Nd (0.5000, 0.5000, 0.5000)
Y (0.2002, 0.2002, 0.1997)
Y (0.7998, 0.7998, 0.8003)



Entry 2:
A plane-wave DFT calculation with PBE-GGA was carried out for an optimized crystal structure of PmNd3Y4.

Summary:
SG ... Pmn2_1
Excess energy over the best structure of this formula in the dataset ... 0 meV per atom
Uncorrected energy ... -44.74 eV/f.u.
ΔH_f (0 K) ... 16 kJ/mol of formula units
Size of the total moment ... 0.00 μB/f.u.

Cell: 11.6185 7.3688 6.3568 Å, 90.00 90.00 90.00°
Element x y z (fractional)
Pm (0.0000, 0.1268, 0.0000)
Pm (0.5000, 0.8732, 0.5000)
Nd (0.0000, 0.8740, 0.4997)
Nd (0.2502, 0.1259, 0.3308)
Nd (0.2498, 0.8741, 0.8308)
Nd (0.5000, 0.1260, 0.9997)
Nd (0.7498, 0.1259, 0.3308)
Nd (0.7502, 0.8741, 0.8308)
Y (0.0000, 0.3770, 0.4978)
Y (0.0000, 0.6228, 0.9973)
Y (0.2498, 0.3773, 0.8330)
Y (0.2502, 0.6227, 0.3330)
Y (0.5000, 0.3772, 0.4973)
Y (0.5000, 0.6230, 0.9978)
Y (0.7502, 0.3773, 0.8330)
Y (0.7498, 0.6227, 0.3330)



Entry 3:
A plane-wave DFT calculation with PBE-GGA was carried out for an optimized crystal structure of PmNd2Y3.

Summary:
SG ... C2/c
Excess energy over the best structure of this formula in the dataset ... 0 meV per atom
Uncorrected energy ... -33.30 eV/f.u.
ΔH_f (0 K) ... 36 kJ/mol of formula units
Size of the total moment ... 0.00 μB/f.u.

Cell: 6.7358 6.7358 9.0763 Å, 97.57 97.57 95.43°
Element x y z (fractional)
Pm (0.0850, 0.9150, 0.7500)
Pm (0.9150, 0.0850, 0.2500)
Nd (0.1281, 0.6241, 0.3740)
Nd (0.3759, 0.8719, 0.1260)
Nd (0.6241, 0.1281, 0.8740)
Nd (0.8719, 0.3759, 0.6260)
Y (0.1649, 0.3309, 0.9991)
Y (0.3309, 0.1649, 0.4991)
Y (0.4169, 0.5831, 0.7500)
Y (0.5831, 0.4169, 0.2500)
Y (0.6691, 0.8351, 0.5009)
Y (0.8351, 0.6691, 0.0009)



Entry 4:
A plane-wave DFT calculation with PBE-GGA was carried out for an optimized crystal structure of Pm3NdY.

Summary:
SG ... P-1
Excess energy over the best structure of this formula in the dataset ... 12 meV per atom
Uncorrected energy ... -25.36 eV/f.u.
ΔH_f (0 K) ... 12 kJ/mol of formula units
Size of the total moment ... 0.00 μB/f.u.

Cell: 6.3875 6.9365 9.4189 Å, 108.76 90.05 117.40°
Element x y z (fractional)
Pm (0.0317, 0.3990, 0.1487)
Pm (0.1653, 0.0007, 0.2475)
Pm (0.2374, 0.7992, 0.5499)
Pm (0.7626, 0.2008, 0.4501)
Pm (0.8347, 0.9993, 0.7525)
Pm (0.9683, 0.6010, 0.8513)
Nd (0.3632, 0.3982, 0.6501)
Nd (0.6368, 0.6018, 0.3499)
Y (0.4357, 0.2009, 0.9502)
Y (0.5643, 0.7991, 0.0498)



Entry 5:
A plane-wave DFT calculation with PBE-GGA was carried out for an optimized crystal structure of PmNd4Y10.

Summary:
SG ... I4/m
Uncorrected energy ... -77.05 eV/f.u.
ΔH_f (0 K) ... 1101 kJ/mol of formula units
Size of the total moment ... 0.00 μB/f.u.

Cell: 9.5283 9.5283 9.5283 Å, 99.61 99.61 131.76°
Element x y z (fractional)
Pm (0.0000, 0.0000, 0.0000)
Nd (0.2008, 0.6010, 0.8018)
Nd (0.3990, 0.2008, 0.5998)
Nd (0.6010, 0.7992, 0.4002)
Nd (0.7992, 0.3990, 0.1982)
Y (0.0497, 0.1507, 0.7011)
Y (0.1507, 0.4496, 0.1009)
Y (0.2500, 0.7500, 0.5000)
Y (0.3487, 0.0497, 0.8991)
Y (0.4496, 0.3487, 0.2989)
Y (0.5504, 0.6513, 0.7011)
Y (0.6513, 0.9503, 0.1009)
Y (0.7500, 0.2500, 0.5000)
Y (0.8493, 0.5504, 0.8991)
Y (0.9503, 0.8493, 0.2989)



Entry 6:
A plane-wave DFT calculation with PBE-GGA was carried out for an optimized crystal structure of Pm3NdY3.

Summary:
SG ... R3m
Excess energy over the best structure of this formula in the dataset ... 5 meV per atom
Uncorrected energy ... -36.88 eV/f.u.
ΔH_f (0 K) ... 148 kJ/mol of formula units
Size of the total moment ... 0.00 μB/f.u.

Cell: 6.4180 6.4180 6.4180 Å, 102.91 102.91 102.91°
Element x y z (fractional)
Pm (0.0940, 0.4530, 0.4530)
Pm (0.4530, 0.0940, 0.4530)
Pm (0.4530, 0.4530, 0.0940)
Nd (0.0428, 0.0428, 0.0428)
Y (0.4958, 0.8960, 0.8960)
Y (0.8960, 0.4958, 0.8960)
Y (0.8960, 0.8960, 0.4958)



Entry 7:
A plane-wave DFT calculation with PBE-GGA was carried out for an optimized crystal structure of PmNd6Y6.

Summary:
SG ... P6/mmm
Uncorrected energy ... -68.65 eV/f.u.
ΔH_f (0 K) ... 337 kJ/mol of formula units
Size of the total moment ... 0.04 μB/f.u.

Cell: 6.8043 6.8043 11.4679 Å, 90.00 90.00 120.00°
Element x y z (fractional)
Pm (0.0000, 0.0000, 0.0000)
Nd (0.0000, 0.0000, 0.3467)
Nd (0.0000, 0.0000, 0.6533)
Nd (0.3333, 0.6667, 0.0000)
Nd (0.3333, 0.6667, 0.5000)
Nd (0.6667, 0.3333, 0.0000)
Nd (0.6667, 0.3333, 0.5000)
Y (0.0000, 0.5000, 0.2472)
Y (0.0000, 0.5000, 0.7528)
Y (0.5000, 0.0000, 0.2472)
Y (0.5000, 0.0000, 0.7528)
Y (0.5000, 0.5000, 0.2472)
Y (0.5000, 0.5000, 0.7528)



Entry 8:
A plane-wave DFT calculation with PBE-GGA was carried out for an optimized crystal structure of Pm2Nd5Y3.

Summary:
SG ... C2/c
Excess energy over the best structure of this formula in the dataset ... 0 meV per atom
Uncorrected energy ... -50.93 eV/f.u.
ΔH_f (0 K) ... 174 kJ/mol of formula units
Size of the total moment ... 0.00 μB/f.u.

Cell: 9.2637 9.2637 10.1102 Å, 108.66 108.66 107.44°
Element x y z (fractional)
Pm (0.0264, 0.2784, 0.0594)
Pm (0.2784, 0.0264, 0.5594)
Pm (0.7216, 0.9736, 0.4406)
Pm (0.9736, 0.7216, 0.9406)
Nd (0.0140, 0.9860, 0.7500)
Nd (0.1301, 0.3850, 0.7573)
Nd (0.2242, 0.7758, 0.7500)
Nd (0.3850, 0.1301, 0.2573)
Nd (0.4753, 0.5247, 0.2500)
Nd (0.5247, 0.4753, 0.7500)
Nd (0.6150, 0.8699, 0.7427)
Nd (0.7758, 0.2242, 0.2500)
Nd (0.8699, 0.6150, 0.2427)
Nd (0.9860, 0.0140, 0.2500)
Y (0.2219, 0.4723, 0.4469)
Y (0.2682, 0.7318, 0.2500)
Y (0.4723, 0.2219, 0.9469)
Y (0.5277, 0.7781, 0.0531)
Y (0.7318, 0.2682, 0.7500)
Y (0.7781, 0.5277, 0.5531)